16
Lattice="7.731 0.000 0.000 0.000 7.731 0.000 0.000 0.000 4.673" Properties=species:S:1:pos:R:3 comment="TiMo, optimized geometry, DFT PBE" e_form_ev_per_atom=0.25 final_energy_ev_per_atom=-9.1117 dos_ef_per_ev_cell=25.4 pbc="T T T"
Ti 5.287 0.278 2.336
Mo 2.917 2.325 2.336
Mo 6.438 4.109 0.000
Ti 2.445 7.453 2.336
Ti 7.453 5.287 2.336
Mo 1.293 3.622 0.000
Ti 1.608 1.107 0.000
Mo 5.407 2.917 2.336
Mo 3.622 6.438 0.000
Mo 4.109 1.293 0.000
Ti 6.123 6.625 0.000
Mo 4.815 5.407 2.336
Ti 0.278 2.445 2.336
Mo 2.325 4.815 2.336
Ti 6.625 1.608 0.000
Ti 1.107 6.123 0.000

=====

7
Lattice="3.180 0.000 0.000 -1.590 4.979 -0.753 0.000 -0.070 7.203" Properties=species:S:1:pos:R:3 comment="Ti4Mo3, optimized geometry, DFT PBE" e_form_ev_per_atom=-0.10 polymorph_energy_mev_per_atom=0 final_energy_ev_per_atom=-9.2507 dos_ef_per_ev_cell=8.4 pbc="T T T"
Ti 0.000 4.293 1.361
Ti 0.000 2.898 5.873
Mo 1.590 2.083 0.730
Ti 1.590 3.316 3.561
Mo 0.000 0.023 7.163
Mo 0.000 1.393 2.846
Ti 1.590 0.651 5.019

=====

Size of the total moment list, top to bottom, in μB per formula unit: 0.00 0.00